Record 1
The following is a PBE calculation of crystalline Rb7BiH2Au2 at its relaxed geometry, from the Alexandria database.

Cell: 6.501 6.573 12.982 Å, 104.66 104.50 90.00°
Sites, in units of the cell vectors:
Au 0.748 0.244 0.497
Au 0.252 0.747 0.503
H 0.388 0.413 0.777
H 0.612 0.636 0.223
Rb 0.724 0.719 0.448
Rb 0.276 0.271 0.552
Rb 0.597 0.078 0.194
Rb 0.902 0.418 0.805
Rb 0.500 0.455 0.000
Rb 0.098 0.613 0.195
Rb 0.403 0.884 0.806
Bi 0.000 0.022 0.000

**Volume**: 43.2 A^3/atom
**Raw total energy**: -26.566 eV per cell
**Space group**: Imm2, No. 44

Record 2
The following is a PBE calculation of crystalline HoEr5In at its relaxed geometry, from the Alexandria database.

Cell: 6.100 7.934 7.598 Å, 121.47 113.67 90.00°
Sites, in units of the cell vectors:
Er 0.038 0.500 0.000
Er 0.329 0.185 0.000
Er 0.968 0.748 0.496
Er 0.473 0.252 0.504
Er 0.329 0.815 0.000
In 0.562 0.500 0.000
Ho 0.831 0.000 0.000

**E_form**: 0.7388 eV per atom
**Volume**: 39.5 A^3/atom
**Space group**: Imm2, No. 44

Record 3
The following is a PBE calculation of crystalline TaTiV2 at its relaxed geometry, from the Alexandria database.

Cell: 3.158 3.158 6.279 Å, 90.00 90.00 90.00°
Sites, in units of the cell vectors:
V 0.000 0.000 0.745
V 0.000 0.000 0.255
Ta 0.500 0.500 0.500
Ti 0.500 0.500 0.000

**E_form**: 0.0726 eV per atom
**Volume**: 15.7 A^3/atom
**E above lowest polymorph**: 0.009 eV/atom
**Space group**: P4/mmm, No. 123

Record 4
The following is a PBE calculation of crystalline MoIr2Br at its relaxed geometry, from the Alexandria database.

Cell: 4.670 4.670 6.666 Å, 83.91 83.91 36.44°
Sites, in units of the cell vectors:
Ir 0.795 0.795 0.730
Ir 0.066 0.066 0.899
Mo 0.520 0.520 0.591
Br 0.120 0.120 0.279

**Volume**: 21.4 A^3/atom
**E above lowest polymorph**: 0.104 eV/atom
**Formation energy from raw total energies**: 0.46 eV/atom
**Space group**: Cm, No. 8

Record 5
The following is a PBE calculation of crystalline CuSiC3 at its relaxed geometry, from the Alexandria database.

Cell: 3.844 3.844 3.844 Å, 90.00 90.00 90.00°
Sites, in units of the cell vectors:
C 0.500 0.000 0.000
C 0.000 0.000 0.500
C 0.000 0.500 0.000
Si 0.500 0.500 0.500
Cu 0.000 0.000 0.000

**Volume**: 11.4 A^3/atom
**E above lowest polymorph**: 2.346 eV/atom
**Formation energy from raw total energies**: 2.82 eV/atom
**Space group**: Pm-3m, No. 221

Record 6
The following is a PBE calculation of crystalline TbAlCuRu at its relaxed geometry, from the Alexandria database.

Cell: 4.581 4.581 4.581 Å, 60.00 60.00 60.00°
Sites, in units of the cell vectors:
Ru 0.750 0.750 0.750
Al 0.000 0.000 0.000
Cu 0.250 0.250 0.250
Tb 0.500 0.500 0.500

**E_form**: -0.2875 eV per atom
**Volume**: 17.0 A^3/atom
**Space group**: F-43m, No. 216

Record 7
The following is a PBE calculation of crystalline Zr4GaRu5 at its relaxed geometry, from the Alexandria database.

Cell: 3.256 3.256 15.962 Å, 90.00 90.00 90.00°
Sites, in units of the cell vectors:
Zr 0.000 0.000 0.812
Zr 0.000 0.000 0.604
Zr 0.000 0.000 0.396
Zr 0.000 0.000 0.188
Ru 0.500 0.500 0.500
Ru 0.500 0.500 0.910
Ru 0.500 0.500 0.090
Ru 0.500 0.500 0.295
Ru 0.500 0.500 0.705
Ga 0.000 0.000 0.000

**E_form**: -0.6073 eV per atom
**Volume**: 16.9 A^3/atom
**Space group**: P4/mmm, No. 123

Record 8
The following is a PBE calculation of crystalline P2PtSN at its relaxed geometry, from the Alexandria database.

Cell: 4.026 4.026 4.139 Å, 90.00 90.00 90.00°
Sites, in units of the cell vectors:
Pt 0.500 0.500 0.500
N 0.000 0.000 0.000
P 0.000 0.500 0.000
P 0.500 0.000 0.000
S 0.000 0.000 0.500

**Volume**: 13.4 A^3/atom
**E above lowest polymorph**: 0.000 eV/atom
**Formation energy from raw total energies**: 0.95 eV/atom
**Space group**: P4/mmm, No. 123

> Among the records above, which one has the lowest volume?

CuSiC3

> volume of number 4 (MoIr2Br)?

21.4 A^3/atom

Copy entry 2 word for word.
The following is a PBE calculation of crystalline HoEr5In at its relaxed geometry, from the Alexandria database.

Cell: 6.100 7.934 7.598 Å, 121.47 113.67 90.00°
Sites, in units of the cell vectors:
Er 0.038 0.500 0.000
Er 0.329 0.185 0.000
Er 0.968 0.748 0.496
Er 0.473 0.252 0.504
Er 0.329 0.815 0.000
In 0.562 0.500 0.000
Ho 0.831 0.000 0.000

**E_form**: 0.7388 eV per atom
**Volume**: 39.5 A^3/atom
**Space group**: Imm2, No. 44